Density functional theory data (meta-GGA SCAN) for Sr2TaAl at its PBEsol-relaxed geometry.

Volume   101.2 Å³ per cell
N(E_F)   2.56 states/eV/cell
Size of the total moment   1.6 μB per cell
ΔH_f (0 K)   793 meV per atom
Total energy   -2.1262 Ry/atom

Lattice parameters (Å, degrees): 4.4697 4.4697 5.0661 90.00 90.00 90.00
Last column: nearest neighbours and their distance in Å.
Sites, in units of the cell vectors:
Sr1 0.0000 0.5000 0.0000  4 Sr 3.16, 4 Ta 3.38, 4 Al 3.38
Sr2 0.5000 0.0000 0.0000  4 Sr 3.16, 4 Ta 3.38, 4 Al 3.38
Ta1 0.0000 0.0000 0.5000  4 Al 3.16, 8 Sr 3.38
Al1 0.5000 0.5000 0.5000  4 Ta 3.16, 8 Sr 3.38